Entry 1:
Entry from Alexandria via LeMat-Bulk: Zr4SiPb at its PBEsol-relaxed geometry (meta-GGA SCAN).

Output
Formation energy without anion corrections in eV/atom: 0.287
Symmetry: F-43m (216)
Total moment in Bohr magnetons per cell: 0.0
Calculated density in kg/m3: 7740

The structure in CIF format:
```
data_Zr4SiPb
_cell_length_a 5.6680
_cell_length_b 5.6680
_cell_length_c 5.6680
_cell_angle_alpha 60.00
_cell_angle_beta 60.00
_cell_angle_gamma 60.00
_space_group_name_H-M_alt 'P 1'
_space_group_IT_number 1
loop_
_space_group_symop_operation_xyz
'x,y,z'
loop_
_atom_site_label
_atom_site_fract_x
_atom_site_fract_y
_atom_site_fract_z
Pb1 0.7500 0.7500 0.7500
Si1 0.0000 0.0000 0.0000
Zr1 0.3746 0.3746 0.3746
Zr2 0.3746 0.3746 0.8762
Zr3 0.8762 0.3746 0.3746
Zr4 0.3746 0.8762 0.3746
```



Entry 2:
Entry from Alexandria via LeMat-Bulk: ZrSiPb2 at its PBEsol-relaxed geometry (meta-GGA SCAN).

Output
Formation energy without anion corrections in eV/atom: 0.173
Symmetry: Pmmm (47)
Total moment in Bohr magnetons per cell: 0.0
Calculated density in kg/m3: 9694

The structure in CIF format:
```
data_ZrSiPb2
_cell_length_a 4.1644
_cell_length_b 4.3385
_cell_length_c 5.0600
_cell_angle_alpha 90.00
_cell_angle_beta 90.00
_cell_angle_gamma 90.00
_space_group_name_H-M_alt 'P 1'
_space_group_IT_number 1
loop_
_space_group_symop_operation_xyz
'x,y,z'
loop_
_atom_site_label
_atom_site_fract_x
_atom_site_fract_y
_atom_site_fract_z
Pb1 0.0000 0.0000 0.0000
Pb2 0.5000 0.5000 0.0000
Si1 0.5000 0.0000 0.5000
Zr1 0.0000 0.5000 0.5000
```



Entry 3:
Entry from Alexandria via LeMat-Bulk: ZrSiPb2 at its PBEsol-relaxed geometry (meta-GGA SCAN).

Output
Formation energy without anion corrections in eV/atom: 0.386
Symmetry: F-43m (216)
Total moment in Bohr magnetons per cell: 0.0
Calculated density in kg/m3: 9457

The structure in CIF format:
```
data_ZrSiPb2
_cell_length_a 5.0985
_cell_length_b 5.0985
_cell_length_c 5.0985
_cell_angle_alpha 60.00
_cell_angle_beta 60.00
_cell_angle_gamma 60.00
_space_group_name_H-M_alt 'P 1'
_space_group_IT_number 1
loop_
_space_group_symop_operation_xyz
'x,y,z'
loop_
_atom_site_label
_atom_site_fract_x
_atom_site_fract_y
_atom_site_fract_z
Pb1 0.0000 0.0000 0.0000
Pb2 0.7500 0.7500 0.7500
Si1 0.5000 0.5000 0.5000
Zr1 0.2500 0.2500 0.2500
```



Entry 4:
Entry from Alexandria via LeMat-Bulk: ZrSi2Pb at its PBEsol-relaxed geometry (meta-GGA SCAN).

Output
Formation energy without anion corrections in eV/atom: 0.177
Symmetry: P4/mmm (123)
Total moment in Bohr magnetons per cell: 0.0
Calculated density in kg/m3: 7358

The structure in CIF format:
```
data_ZrSi2Pb
_cell_length_a 3.0685
_cell_length_b 3.0685
_cell_length_c 8.4993
_cell_angle_alpha 90.00
_cell_angle_beta 90.00
_cell_angle_gamma 90.00
_space_group_name_H-M_alt 'P 1'
_space_group_IT_number 1
loop_
_space_group_symop_operation_xyz
'x,y,z'
loop_
_atom_site_label
_atom_site_fract_x
_atom_site_fract_y
_atom_site_fract_z
Pb1 0.5000 0.5000 0.5000
Si1 0.0000 0.0000 0.7799
Si2 0.0000 0.0000 0.2201
Zr1 0.5000 0.5000 0.0000
```



Entry 5:
Entry from Alexandria via LeMat-Bulk: Sm5Pb3 at its PBEsol-relaxed geometry (meta-GGA SCAN).

Output
Formation energy in meV per atom: -797.6
Symmetry: P6_3/mcm (193)
Total moment in Bohr magnetons per cell: 0.0
Calculated density in kg/m3: 9473

The structure in CIF format:
```
data_Sm5Pb3
_cell_length_a 6.6693
_cell_length_b 9.1305
_cell_length_c 9.1305
_cell_angle_alpha 120.00
_cell_angle_beta 90.00
_cell_angle_gamma 90.00
_space_group_name_H-M_alt 'P 1'
_space_group_IT_number 1
loop_
_space_group_symop_operation_xyz
'x,y,z'
loop_
_atom_site_label
_atom_site_fract_x
_atom_site_fract_y
_atom_site_fract_z
Sm1 0.0000 0.6667 0.3333
Sm2 0.0000 0.3333 0.6667
Sm3 0.5000 0.3333 0.6667
Sm4 0.5000 0.6667 0.3333
Sm5 0.2500 0.2381 0.2381
Sm6 0.2500 0.0000 0.7619
Sm7 0.2500 0.7619 0.0000
Sm8 0.7500 0.7619 0.7619
Sm9 0.7500 0.0000 0.2381
Sm10 0.7500 0.2381 0.0000
Pb1 0.2500 0.6052 0.6052
Pb2 0.2500 0.0000 0.3948
Pb3 0.2500 0.3948 0.0000
Pb4 0.7500 0.3948 0.3948
Pb5 0.7500 0.0000 0.6052
Pb6 0.7500 0.6052 0.0000
```



Entry 6:
Entry from Alexandria via LeMat-Bulk: Tc3SnPb at its PBEsol-relaxed geometry (meta-GGA SCAN).

Output
Formation energy in meV per atom: 2252.7
Symmetry: Pm-3m (221)
Total moment in Bohr magnetons per cell: 7.9
Calculated density in kg/m3: 8761

The structure in CIF format:
```
data_Tc3SnPb
_cell_length_a 4.8978
_cell_length_b 4.8978
_cell_length_c 4.8978
_cell_angle_alpha 90.00
_cell_angle_beta 90.00
_cell_angle_gamma 90.00
_space_group_name_H-M_alt 'P 1'
_space_group_IT_number 1
loop_
_space_group_symop_operation_xyz
'x,y,z'
loop_
_atom_site_label
_atom_site_fract_x
_atom_site_fract_y
_atom_site_fract_z
Pb1 0.0000 0.0000 0.0000
Sn1 0.5000 0.5000 0.5000
Tc1 0.0000 0.5000 0.0000
Tc2 0.0000 0.0000 0.5000
Tc3 0.5000 0.0000 0.0000
```



Entry 7:
Entry from Alexandria via LeMat-Bulk: Tl2TcSnPb at its PBEsol-relaxed geometry (meta-GGA SCAN).

Output
Formation energy in meV per atom: 559.4
Symmetry: P4/mmm (123)
Total moment in Bohr magnetons per cell: 2.0
Calculated density in kg/m3: 9572

The structure in CIF format:
```
data_Tl2TcSnPb
_cell_length_a 5.2176
_cell_length_b 5.2616
_cell_length_c 5.2616
_cell_angle_alpha 90.00
_cell_angle_beta 90.00
_cell_angle_gamma 90.00
_space_group_name_H-M_alt 'P 1'
_space_group_IT_number 1
loop_
_space_group_symop_operation_xyz
'x,y,z'
loop_
_atom_site_label
_atom_site_fract_x
_atom_site_fract_y
_atom_site_fract_z
Pb1 0.5000 0.0000 0.0000
Tl1 0.0000 0.0000 0.5000
Tl2 0.0000 0.5000 0.0000
Sn1 0.5000 0.5000 0.5000
Tc1 0.0000 0.0000 0.0000
```



Entry 8:
Entry from Alexandria via LeMat-Bulk: SnPbW3 at its PBEsol-relaxed geometry (meta-GGA SCAN).

Output
Formation energy in meV per atom: 3204.9
Symmetry: Pm-3m (221)
Total moment in Bohr magnetons per cell: 0.0
Calculated density in kg/m3: 12008

The structure in CIF format:
```
data_SnPbW3
_cell_length_a 4.9507
_cell_length_b 4.9507
_cell_length_c 4.9507
_cell_angle_alpha 90.00
_cell_angle_beta 90.00
_cell_angle_gamma 90.00
_space_group_name_H-M_alt 'P 1'
_space_group_IT_number 1
loop_
_space_group_symop_operation_xyz
'x,y,z'
loop_
_atom_site_label
_atom_site_fract_x
_atom_site_fract_y
_atom_site_fract_z
Pb1 0.0000 0.0000 0.0000
Sn1 0.5000 0.5000 0.5000
W1 0.0000 0.5000 0.0000
W2 0.0000 0.0000 0.5000
W3 0.5000 0.0000 0.0000
```



Entry 9:
Entry from Alexandria via LeMat-Bulk: YSn2Pb2 at its PBEsol-relaxed geometry (meta-GGA SCAN).

Output
Formation energy in meV per atom: -94.1
Symmetry: I4/mmm (139)
Total moment in Bohr magnetons per cell: 0.0
Calculated density in kg/m3: 8378

The structure in CIF format:
```
data_YSn2Pb2
_cell_length_a 4.2216
_cell_length_b 4.2216
_cell_length_c 8.7621
_cell_angle_alpha 103.94
_cell_angle_beta 103.94
_cell_angle_gamma 90.00
_space_group_name_H-M_alt 'P 1'
_space_group_IT_number 1
loop_
_space_group_symop_operation_xyz
'x,y,z'
loop_
_atom_site_label
_atom_site_fract_x
_atom_site_fract_y
_atom_site_fract_z
Pb1 0.4076 0.4076 0.8152
Pb2 0.5924 0.5924 0.1848
Y1 0.0000 0.0000 0.0000
Sn1 0.2500 0.7500 0.5000
Sn2 0.7500 0.2500 0.5000
```



Entry 10:
Entry from Alexandria via LeMat-Bulk: YSn3Pb at its PBEsol-relaxed geometry (meta-GGA SCAN).

Output
Formation energy in meV per atom: 456.7
Symmetry: Pm-3m (221)
Total moment in Bohr magnetons per cell: 0.0
Calculated density in kg/m3: 6061

The structure in CIF format:
```
data_YSn3Pb
_cell_length_a 5.6326
_cell_length_b 5.6326
_cell_length_c 5.6326
_cell_angle_alpha 90.00
_cell_angle_beta 90.00
_cell_angle_gamma 90.00
_space_group_name_H-M_alt 'P 1'
_space_group_IT_number 1
loop_
_space_group_symop_operation_xyz
'x,y,z'
loop_
_atom_site_label
_atom_site_fract_x
_atom_site_fract_y
_atom_site_fract_z
Pb1 0.5000 0.5000 0.5000
Y1 0.0000 0.0000 0.0000
Sn1 0.0000 0.5000 0.0000
Sn2 0.0000 0.0000 0.5000
Sn3 0.5000 0.0000 0.0000
```



Entry 11:
Entry from Alexandria via LeMat-Bulk: Y2SnPb at its PBEsol-relaxed geometry (meta-GGA SCAN).

Output
Formation energy in meV per atom: -663.4
Symmetry: Fm-3m (225)
Total moment in Bohr magnetons per cell: 0.0
Calculated density in kg/m3: 7854

The structure in CIF format:
```
data_Y2SnPb
_cell_length_a 5.3206
_cell_length_b 5.3206
_cell_length_c 5.3206
_cell_angle_alpha 60.00
_cell_angle_beta 60.00
_cell_angle_gamma 60.00
_space_group_name_H-M_alt 'P 1'
_space_group_IT_number 1
loop_
_space_group_symop_operation_xyz
'x,y,z'
loop_
_atom_site_label
_atom_site_fract_x
_atom_site_fract_y
_atom_site_fract_z
Pb1 0.5000 0.5000 0.5000
Y1 0.2500 0.2500 0.2500
Y2 0.7500 0.7500 0.7500
Sn1 0.0000 0.0000 0.0000
```



Entry 12:
Entry from Alexandria via LeMat-Bulk: ZnSn2Pb2 at its PBEsol-relaxed geometry (meta-GGA SCAN).

Output
Formation energy in meV per atom: 150.3
Symmetry: P4/mbm (127)
Total moment in Bohr magnetons per cell: 0.0
Calculated density in kg/m3: 8930

The structure in CIF format:
```
data_ZnSn2Pb2
_cell_length_a 5.2753
_cell_length_b 7.1107
_cell_length_c 7.1107
_cell_angle_alpha 90.00
_cell_angle_beta 90.00
_cell_angle_gamma 90.00
_space_group_name_H-M_alt 'P 1'
_space_group_IT_number 1
loop_
_space_group_symop_operation_xyz
'x,y,z'
loop_
_atom_site_label
_atom_site_fract_x
_atom_site_fract_y
_atom_site_fract_z
Pb1 0.5000 0.1814 0.6814
Pb2 0.5000 0.6814 0.8186
Pb3 0.5000 0.8186 0.3186
Pb4 0.5000 0.3186 0.1814
Zn1 0.0000 0.0000 0.0000
Zn2 0.0000 0.5000 0.5000
Sn1 0.0000 0.3552 0.8552
Sn2 0.0000 0.8552 0.6448
Sn3 0.0000 0.6448 0.1448
Sn4 0.0000 0.1448 0.3552
```



Entry 13:
Entry from Alexandria via LeMat-Bulk: Zn2SnPb2 at its PBEsol-relaxed geometry (meta-GGA SCAN).

Output
Formation energy in meV per atom: 146.6
Symmetry: P4/mbm (127)
Total moment in Bohr magnetons per cell: 0.0
Calculated density in kg/m3: 9418

The structure in CIF format:
```
data_Zn2SnPb2
_cell_length_a 4.5286
_cell_length_b 7.1900
_cell_length_c 7.1900
_cell_angle_alpha 90.00
_cell_angle_beta 90.00
_cell_angle_gamma 90.00
_space_group_name_H-M_alt 'P 1'
_space_group_IT_number 1
loop_
_space_group_symop_operation_xyz
'x,y,z'
loop_
_atom_site_label
_atom_site_fract_x
_atom_site_fract_y
_atom_site_fract_z
Pb1 0.5000 0.1788 0.6788
Pb2 0.5000 0.6788 0.8212
Pb3 0.5000 0.8212 0.3212
Pb4 0.5000 0.3212 0.1788
Zn1 0.0000 0.3770 0.8770
Zn2 0.0000 0.8770 0.6230
Zn3 0.0000 0.6230 0.1230
Zn4 0.0000 0.1230 0.3770
Sn1 0.0000 0.0000 0.0000
Sn2 0.0000 0.5000 0.5000
```